Crystalline K3Y3BiO8 at its relaxed geometry. Source: the Alexandria database, functional PBE-GGA.

Geometry as extended XYZ:
```
15
Lattice="6.9644 -0.0005 0.0005 -3.4826 6.0316 -0.0225 0.0008 -3.9992 6.3614" Properties=species:S:1:pos:R:3 pbc="T T T"
O 1.7129 -1.0154 2.0236
O 5.2518 -1.0160 2.0238
O 0.0000 2.0168 2.0268
O 3.4818 2.0496 2.0122
O -1.7693 3.0478 4.3155
O 1.7696 3.0473 4.3157
O 0.0007 -0.0178 4.3271
O 3.4825 0.0150 4.3126
Bi 0.0004 -1.9996 3.1807
Y 1.7412 1.0159 3.1697
Y -1.7409 1.0162 3.1694
Y 3.4826 -1.9999 3.1809
K 0.0000 0.0000 0.0000
K -1.7413 3.0158 -0.0113
K 1.7409 3.0155 -0.0110
```

Computed properties:
Calculated density: 4.49 g cm⁻³
ΔE_f (raw): -2.4104 eV per atom
Magnetic moment: 0.00 μB/atom

=====

Crystalline K2Y2BiO6 at its relaxed geometry. Source: the Alexandria database, functional PBE-GGA.

Geometry as extended XYZ:
```
11
Lattice="-2.4663 3.9183 -3.8588 -3.5120 -3.1545 3.7471 2.4310 4.3956 4.4218" Properties=species:S:1:pos:R:3 pbc="T T T"
Y -1.9466 1.4098 3.4131
Y -1.6007 3.7496 0.8970
O 0.5064 4.3547 1.6843
O -0.8226 1.6120 1.3859
O -2.7247 3.5474 2.9242
O -4.0537 0.8046 2.6257
O 0.1510 1.9507 4.2696
O -3.6982 3.2087 0.0405
Bi 1.2155 2.1978 2.2109
K -2.6397 2.7451 -2.5972
K -3.3385 -1.9813 2.4855
```

Computed properties:
Calculated density: 4.62 g cm⁻³
ΔE_f (raw): -2.2687 eV per atom
Magnetic moment: 0.08 μB/atom

=====

Crystalline KZnBiO4 at its relaxed geometry. Source: the Alexandria database, functional PBE-GGA.

Geometry as extended XYZ:
```
14
Lattice="-2.7320 -6.1020 -0.5050 4.7006 1.9575 -4.5747 1.8761 -1.3679 6.3787" Properties=species:S:1:pos:R:3 pbc="T T T"
O 2.5330 -1.0819 -0.6303
O 5.2505 -0.8075 0.0885
O -0.2557 -2.1362 1.4231
O 1.3116 -4.4304 1.9292
O 3.2910 -1.6346 1.9466
O 4.1004 -3.3762 -0.1241
O 0.5537 -3.8778 -0.6477
O -1.4058 -4.7049 1.2105
Zn 1.9223 -2.7562 0.6495
Zn 3.2883 0.2948 0.9020
Bi -1.3660 -3.0510 -0.2525
Bi -0.4279 -3.7349 2.9368
K 2.6400 -1.5388 4.3114
K 1.2047 -3.9735 -3.0124
```

Computed properties:
Calculated density: 5.61 g cm⁻³
ΔE_f (raw): -1.0932 eV per atom
Magnetic moment: 0.00 μB/atom

=====

Crystalline K2Zn2BiO6 at its relaxed geometry. Source: the Alexandria database, functional PBE-GGA.

Geometry as extended XYZ:
```
11
Lattice="5.5191 0.0000 0.0000 -2.7595 4.7796 0.0000 0.0000 0.0000 6.3612" Properties=species:S:1:pos:R:3 pbc="T T T"
K 2.7595 1.5932 3.1811
K 0.0000 3.1864 3.1802
Zn 0.0000 3.1864 6.3608
Zn 2.7595 1.5932 0.0004
O 1.8349 3.1782 5.2463
O -0.9246 1.6015 5.2463
O 0.9246 1.6015 1.1150
O 3.6841 3.1782 1.1150
O -0.9103 4.7796 5.2463
O 3.6698 0.0000 1.1150
Bi 0.0000 0.0000 0.0000
```

Computed properties:
Calculated density: 5.09 g cm⁻³
ΔE_f (raw): -1.1703 eV per atom
Magnetic moment: 0.10 μB/atom

=====

Crystalline K2Zn2BiO4 at its relaxed geometry. Source: the Alexandria database, functional PBE-GGA.

Geometry as extended XYZ:
```
9
Lattice="-1.6127 1.8837 -2.3968 3.8757 -6.0219 -4.8593 -4.9677 -3.1681 0.8526" Properties=species:S:1:pos:R:3 pbc="T T T"
O -3.1237 -4.3700 -3.8138
O -4.6602 -2.7036 -1.4703
O 0.4190 -2.9363 -2.5896
O 1.9555 -4.6028 -4.9331
K -1.9453 -3.3855 -1.3518
K -0.7594 -3.9209 -5.0517
Bi 0.0000 0.0000 0.0000
Zn -2.7973 -6.1705 -2.9674
Zn 0.0926 -1.1358 -3.4361
```

Computed properties:
Calculated density: 4.61 g cm⁻³
ΔE_f (raw): -1.2201 eV per atom
Magnetic moment: 0.11 μB/atom

=====

Crystalline K2ZrBi2O6 at its relaxed geometry. Source: the Alexandria database, functional PBE-GGA.

Geometry as extended XYZ:
```
11
Lattice="6.2474 0.0000 0.0000 -3.1237 4.8294 0.0255 0.0000 -2.6442 6.6798" Properties=species:S:1:pos:R:3 pbc="T T T"
Zr 3.1237 -1.3221 3.3399
O 1.6092 -1.4258 4.8853
O 0.0000 1.3925 3.4299
O 4.6383 -1.4258 4.8853
O 3.1237 0.7927 3.2754
O 1.5145 3.6110 1.8199
O -1.5145 3.6110 1.8199
K 0.0000 0.5981 5.9174
K 3.1237 1.5871 0.7878
Bi 3.1237 2.0024 4.9702
Bi 0.0000 0.1828 1.7350
```

Computed properties:
Calculated density: 5.62 g cm⁻³
ΔE_f (raw): -1.7690 eV per atom
Magnetic moment: 0.00 μB/atom

=====

Crystalline KZrBiO2 at its relaxed geometry. Source: the Alexandria database, functional PBE-GGA.

Geometry as extended XYZ:
```
5
Lattice="-0.9411 3.8205 -1.4808 -9.4794 -1.9904 0.8890 0.0462 1.5291 3.9158" Properties=species:S:1:pos:R:3 pbc="T T T"
Zr 0.0000 0.0000 0.0000
K -4.7397 -0.9952 0.4445
O -0.4705 1.9102 -0.7404
O 0.0231 0.7646 1.9579
Bi -5.1872 1.6796 1.6620
```

Computed properties:
Calculated density: 3.59 g cm⁻³
ΔE_f (raw): -0.8877 eV per atom
Magnetic moment: 0.00 μB/atom

=====

Crystalline KZr2Bi2O7 at its relaxed geometry. Source: the Alexandria database, functional PBE-GGA.

Geometry as extended XYZ:
```
12
Lattice="3.5701 0.0000 0.0000 0.0000 6.0403 0.0000 -1.7850 -3.0201 9.7374" Properties=species:S:1:pos:R:3 pbc="T T T"
Zr 0.0000 0.2791 7.7725
Zr 1.7851 3.2992 1.9649
O 0.0000 2.2680 7.9892
O 0.0000 0.9207 5.5155
O 1.7850 3.9408 4.2219
O 0.0000 2.4032 2.3854
O 1.7850 2.7917 0.0000
O 1.7850 5.2881 1.7481
O 1.7850 -0.6169 7.3520
K 0.0000 0.5037 0.0000
Bi 1.7850 0.0307 3.8380
Bi 0.0000 3.0508 5.8994
```

Computed properties:
Calculated density: 5.94 g cm⁻³
ΔE_f (raw): -2.1192 eV per atom
Magnetic moment: 0.00 μB/atom

=====

Crystalline KZrBiO4 at its relaxed geometry. Source: the Alexandria database, functional PBE-GGA.

Geometry as extended XYZ:
```
14
Lattice="7.2903 0.0000 0.0000 -3.6452 6.0324 -0.2471 0.0000 -3.4762 5.7167" Properties=species:S:1:pos:R:3 pbc="T T T"
O 0.0000 0.8206 4.2364
O 0.0000 2.4008 1.6377
O 3.6452 1.7356 1.2332
O 1.3887 3.3351 3.9856
O 3.6452 0.1554 3.8319
O 5.0339 -0.7788 1.4840
O -1.3887 3.3351 3.9856
O 2.2564 -0.7788 1.4841
K 3.6452 4.1668 0.5761
K 0.0000 -1.6105 4.8936
Zr 3.6452 0.0000 0.0000
Zr 3.6452 -1.7381 2.8584
Bi -1.8226 1.2781 2.7348
Bi 1.8226 1.2781 2.7348
```

Computed properties:
Calculated density: 5.46 g cm⁻³
ΔE_f (raw): -2.1500 eV per atom
Magnetic moment: 0.00 μB/atom

=====

Crystalline KZrBi2O6 at its relaxed geometry. Source: the Alexandria database, functional PBE-GGA.

Geometry as extended XYZ:
```
20
Lattice="-3.2185 -6.4632 0.2215 3.5292 -4.1585 6.2734 -7.5967 1.2741 3.1258" Properties=species:S:1:pos:R:3 pbc="T T T"
K -8.8701 -4.1302 3.6146
K 1.5841 -5.2175 6.0061
O -8.1816 -6.7840 5.0416
O -2.1434 -2.2918 6.0238
O -2.5022 -4.3278 3.7778
O -5.1426 -7.0559 3.5968
O -5.9362 -3.2453 3.2124
O 0.8956 -2.5637 4.5791
O -3.1781 -4.3171 8.5287
O -0.4619 -2.7934 1.5573
O -6.8241 -6.5542 8.0633
O -1.3498 -6.1024 6.4083
O -4.1079 -5.0306 1.0919
O -4.7839 -5.0199 5.8429
Bi -1.0955 -2.5752 3.6533
Bi -4.5182 -4.9214 3.2510
Bi -6.1905 -6.7725 5.9674
Bi -2.7679 -4.4263 6.3696
Zr -0.9978 -7.9741 5.8417
Zr -6.2882 -1.3736 3.7790
```

Computed properties:
Calculated density: 4.85 g cm⁻³
ΔE_f (raw): -1.7324 eV per atom
Magnetic moment: 0.00 μB/atom

=====

Crystalline KBiOs2 at its relaxed geometry. Source: the Alexandria database, functional PBE-GGA.

Geometry as extended XYZ:
```
8
Lattice="8.1651 0.0000 0.0000 0.0000 8.1651 0.0000 4.0826 4.0826 2.8045" Properties=species:S:1:pos:R:3 pbc="T T T"
K 4.0826 8.1651 1.4022
K 4.0826 4.0826 0.0000
Os 1.6344 6.1238 0.7011
Os 10.2064 10.6132 2.1033
Os 6.5307 2.0413 0.7011
Os 6.1238 5.7170 2.1033
Bi 8.1651 4.0826 1.4022
Bi 0.0000 0.0000 0.0000
```

Computed properties:
Calculated density: 11.16 g cm⁻³
Energy relative to the elements: 1.8105 eV per atom
Magnetic moment: 0.00 μB/atom

=====

Crystalline K2BiOs at its relaxed geometry. Source: the Alexandria database, functional PBE-GGA.

Geometry as extended XYZ:
```
8
Lattice="-11.7431 -5.1777 0.8304 4.0681 -7.7102 9.4553 -4.5011 -4.6596 6.8834" Properties=species:S:1:pos:R:3 pbc="T T T"
K -5.2099 -4.1538 3.2276
K -11.0428 -12.9684 11.9512
K -2.7969 -7.8418 7.9284
K -5.3025 -10.1308 11.2310
Os -2.1352 -9.4068 10.7408
Os -3.8375 -6.4439 5.1428
Bi 0.0000 0.0000 0.0000
Bi -10.0408 -8.1406 6.4283
```

Computed properties:
Calculated density: 3.72 g cm⁻³
Energy relative to the elements: 0.7262 eV per atom
Magnetic moment: 0.24 μB/atom